Entry 1:
Material: LiEr2Pt4
Method: DFT, PBE
State: relaxed

Computed properties:
DFT formation energy ... -0.862 eV per atom

Cell lengths 7.034, 6.368, 5.058 Å; angles 75.02, 60.99, 44.00 degrees
Atoms (fractional coordinates):
Li  0.000  0.000  0.000
Er  0.356  0.356  0.644
Er  0.644  0.644  0.356
Pt  0.000  0.000  0.500
Pt  0.250  0.250  0.250
Pt  0.500  0.500  0.000
Pt  0.750  0.750  0.750

Entry 2:
Material: MoOs2W
Method: DFT, PBE
State: relaxed

Computed properties:
DFT formation energy ... 0.065 eV per atom
E above lowest polymorph ... 0.23 kJ per mole of atoms

Cell lengths 3.945, 3.945, 7.804 Å; angles 90.00, 90.00, 90.00 degrees
Atoms (fractional coordinates):
Mo  0.000  0.000  0.000
Mo  0.500  0.500  0.500
Os  0.000  0.500  0.250
Os  0.000  0.500  0.750
Os  0.500  0.000  0.250
Os  0.500  0.000  0.750
W  0.000  0.000  0.500
W  0.500  0.500  0.000

Entry 3:
Material: TiMn
Method: DFT, PBE
State: relaxed

Computed properties:
DFT formation energy ... -0.216 eV per atom

Cell lengths 2.954, 4.100, 8.751 Å; angles 90.00, 90.00, 90.00 degrees
Atoms (fractional coordinates):
Ti  0.000  0.250  0.116
Ti  0.000  0.750  0.884
Ti  0.500  0.250  0.384
Ti  0.500  0.750  0.616
Mn  0.000  0.250  0.636
Mn  0.000  0.750  0.364
Mn  0.500  0.250  0.864
Mn  0.500  0.750  0.136

> DFT formation energy of number 2 (MoOs2W)?

0.065 eV per atom

> Look up the DFT formation energy of the third one.

-0.216 eV per atom